{
  "formula": "TlB3Te",
  "functional": "PBE",
  "state": "optimized geometry",
  "cell": [[-4.334, -0.970, -1.286], [1.548, -3.527, -2.558], [-0.444, -2.828, 3.631]],
  "species": ["Tl", "Te", "B", "B", "B"],
  "frac_coords": [[0.000, 0.000, 0.000], [0.500, 0.500, 0.500], [0.000, 0.500, 0.000], [0.000, 0.000, 0.500], [0.500, 0.000, 0.000]],
  "magnetic_moment_mub_per_fu": 0.0,
  "raw_formation_energy_kcal_per_mol_atoms": 52.16,
  "polymorph_energy_mev_per_atom": 198,
  "space_group": "Pm-3m",
  "dft_energy_ev_per_cell": -14.230,
  "volume_a3_per_cell": 99
}